Computed, not measured: an optimized crystal structure of Sb2OsPbI at the PBE level of DFT.

abc: 5.814 5.814 5.887
angles: 90.00 90.00 90.00
Fractional positions:
Sb (0.000, 0.500, 0.000)
Sb (0.500, 0.000, 0.000)
Os (0.000, 0.000, 0.500)
Pb (0.500, 0.500, 0.000)
I (0.500, 0.500, 0.500)

Summary:
**Uncorrected formation energy**: 1.93 eV per atom
**Density of states at the Fermi level**: 1.278 states/eV per atom